# 1
# PuMgSb2

Crystalline PuMgSb2 at its relaxed geometry (PBE, Alexandria via LeMat-Bulk).

Uncorrected formation energy, eV per atom: -0.371
Offset from the most stable computed form, kJ/mol of formula units: 51
Magnetization, μB per formula unit: 5.93
Space group: P4/mmm, No. 123

abc: 3.924 3.924 6.601
angles: 90.00 90.00 90.00
Each line ends with the local moment (μB).
Fractional positions:
Mg: 0.500 0.500 0.000  0.03
Sb: 0.000 0.000 0.759  -0.04
Pu: 0.500 0.500 0.500  5.45
Sb: 0.000 0.000 0.241  -0.04

***

# 2
# Dy2Al2ZnPd5

Crystalline Dy2Al2ZnPd5 at its relaxed geometry (PBE, Alexandria via LeMat-Bulk).

Formation energy from the elements, eV/f.u.: -7.32
Magnetization, μB per formula unit: 0.00
Space group: P4/mbm, No. 127

abc: 3.284 10.374 10.374
angles: 90.00 90.00 90.00
Fractional positions:
Pd: 0.500 0.553 0.700
Dy: 0.000 0.674 0.174
Al: 0.000 0.628 0.872
Al: 0.000 0.872 0.372
Pd: 0.500 0.200 0.053
Pd: 0.500 0.053 0.800
Pd: 0.500 0.500 0.000
Dy: 0.000 0.174 0.326
Al: 0.000 0.128 0.628
Pd: 0.500 0.447 0.300
Dy: 0.000 0.326 0.826
Al: 0.000 0.372 0.128
Zn: 0.000 0.000 0.000
Dy: 0.000 0.826 0.674
Pd: 0.500 0.947 0.200
Pd: 0.500 0.700 0.447
Pd: 0.500 0.800 0.947
Zn: 0.000 0.500 0.500
Pd: 0.500 0.000 0.500
Pd: 0.500 0.300 0.553